Entry from the Alexandria database: an optimized crystal structure of NaY2C (PBE-GGA).

Calculated values
ΔH_f (0 K) ... 230 meV per atom
E_tot ... -5.6377 eV/atom

a b c (Å): 7.427 7.427 7.843
angles (deg): 90.00 90.00 90.00
Space group I-42d (No. 122)
Unique sites:
1 Na 0.000 0.000 0.000
2 Y 0.138 0.750 0.625
3 C 0.000 0.000 0.500